This record from Alexandria via LeMat-Bulk describes an optimized crystal structure of TeWNF2. The functional is GGA+U.

```
TeWNF2
1.0
4.3030 0.0000 0.0000
0.0000 4.3030 0.0000
0.0000 0.0000 4.2078
N Te W F
1 1 1 2
Direct
0.0000 0.0000 0.5000 N
0.5000 0.5000 0.5000 Te
0.0000 0.0000 0.0000 W
0.0000 0.5000 0.0000 F
0.5000 0.0000 0.0000 F
```

Relative energy among the computed polymorphs   0.000 eV/atom
Crystal system   tetragonal